Sn3RuCl: optimized geometry, PBE.

## Properties
* D(E_F): 5.4 states/eV per cell
* size of the total moment: 0.0 μB per formula unit
* E_form (uncorrected): -0.207 eV/atom
* crystal system: cubic

Unit cell a=5.1497 b=5.1497 c=5.1497 alpha=90.00 beta=90.00 gamma=90.00
Positions (direct):
Ru 0.0000 0.0000 0.0000
Sn 0.0000 0.5000 0.0000
Sn 0.0000 0.0000 0.5000
Sn 0.5000 0.0000 0.0000
Cl 0.5000 0.5000 0.5000